# 1
The following is a PBE calculation of crystalline NaLaY4Se8 at its relaxed geometry, from the Alexandria database.

The calculation puts the uncorrected formation energy at -25.11 eV per formula unit. The value obtained for the magnetization is 0.00 μB/cell.

Cell lengths 8.4722, 8.4722, 8.6237 Å; angles 60.58, 60.58, 60.00 degrees
Atoms (fractional coordinates):
Se: 0.7584 0.7584 0.7249
Se: 0.2466 0.2466 0.7283
Se: 0.7785 0.2466 0.7283
Se: 0.7509 0.2300 0.2681
Se: 0.2466 0.7785 0.7283
Se: 0.2300 0.7509 0.2681
Se: 0.7509 0.7509 0.2681
Se: 0.2395 0.2395 0.2816
Y: 0.4853 0.0051 0.5044
Y: 0.0051 0.0051 0.5044
Y: 0.6266 0.6266 0.1203
Y: 0.0051 0.4853 0.5044
Na: 0.3727 0.3727 0.8818
La: 0.0037 0.0037 0.9888



# 2
The following is a PBE calculation of crystalline AcPuBr6 at its relaxed geometry, from the Alexandria database.

The calculation puts the uncorrected formation energy at -13.77 eV per formula unit. The value obtained for the magnetization is 5.00 μB/cell.

Cell lengths 7.2924, 7.2923, 8.0960 Å; angles 63.21, 63.22, 60.00 degrees
Site moments in Bohr magnetons follow the coordinates.
Atoms (fractional coordinates):
Br: 0.5957 0.2363 0.2459  -0.02
Br: 0.9221 0.5956 0.2459  -0.02
Br: 0.7635 0.0779 0.7542  -0.02
Br: 0.0779 0.4044 0.7541  -0.02
Br: 0.2365 0.9221 0.2458  -0.02
Br: 0.4043 0.7637 0.7541  -0.02
Ac: 0.5000 0.5000 0.5000  0.00
Pu: 0.0000 0.0000 0.0000  5.06